## 1
First-principles (PBE) data for a relaxed structure of NbTcAu, as listed in Alexandria.

Geometry as POSCAR:
```
NbTcAu
1.0
-1.6675 1.6675 4.6182
1.6675 -1.6675 4.6182
1.6675 1.6675 -4.6182
Nb Tc Au
1 1 1
Cartesian
0.0000 0.0000 0.0000
0.0000 0.0000 3.3595
0.0000 0.0000 6.2814
```

Calculated values
- M_tot (μB/atom) = 0.000
- volume (Å³/cell) = 51.36
- N(E_F) (states/eV per cell) = 3.65



## 2
First-principles (PBE) data for a relaxed structure of NbTcAu, as listed in Alexandria.

Geometry as POSCAR:
```
NbTcAu
1.0
2.8318 0.0000 0.0000
0.0000 4.2706 0.0000
-1.3880 0.0000 8.4060
Nb Tc Au
2 2 2
Cartesian
0.0000 0.0000 0.0000
0.4614 0.0000 5.7279
-0.4524 2.1353 7.0401
1.3653 2.1353 4.5301
-0.0592 0.0000 2.9650
1.3618 2.1353 1.5165
```

Calculated values
- M_tot (μB/atom) = 0.000
- volume (Å³/cell) = 101.66
- N(E_F) (states/eV per cell) = 4.87



## 3
First-principles (PBE) data for a relaxed structure of NbTcAu, as listed in Alexandria.

Geometry as POSCAR:
```
NbTcAu
1.0
2.3710 -4.4777 0.0000
2.3710 4.4777 0.0000
-1.3546 0.0000 4.7123
Nb Tc Au
2 2 2
Cartesian
0.0000 0.0000 0.0000
1.6937 0.0000 2.3561
1.6937 3.0042 2.3561
1.6937 -3.0042 2.3561
2.3710 1.5171 0.0000
2.3710 -1.5171 0.0000
```

Calculated values
- M_tot (μB/atom) = 0.000
- volume (Å³/cell) = 100.06
- N(E_F) (states/eV per cell) = 4.57



Stability ranking, top entry: 2; the second entry is 31 meV/atom less favorable.



## 1
First-principles (PBE) data for a relaxed structure of NbTcAu, as listed in Alexandria.

Geometry as POSCAR:
```
NbTcAu
1.0
5.9719 -1.5703 0.0000
5.9719 1.5703 0.0000
-0.4630 0.0000 2.7774
Nb Tc Au
1 1 1
Cartesian
0.0000 0.0000 0.0000
4.0953 0.0000 0.6023
7.8241 0.0000 1.7216
```

Calculated values
- M_tot (μB/atom) = 0.000
- volume (Å³/cell) = 52.09
- N(E_F) (states/eV per cell) = 2.59



## 2
First-principles (PBE) data for a relaxed structure of NbTcAu, as listed in Alexandria.

Geometry as POSCAR:
```
NbTcAu
1.0
5.5332 -1.6306 0.0000
5.5332 1.6306 0.0000
-1.8291 0.0000 5.7129
Nb Tc Au
2 2 2
Cartesian
0.0000 0.0000 0.0000
6.0342 0.0000 4.6765
3.2236 0.0000 0.7828
6.7365 0.0000 1.5888
-0.8296 0.0000 2.7480
2.5403 0.0000 3.5995
```

Calculated values
- M_tot (μB/atom) = 0.000
- volume (Å³/cell) = 103.09
- N(E_F) (states/eV per cell) = 4.99



Stability ranking, top entry: 2; the second entry is 30 meV/atom less favorable.



## 1
First-principles (PBE) data for a relaxed structure of Nb3TcAu, as listed in Alexandria.

Geometry as POSCAR:
```
Nb3TcAu
1.0
4.7806 0.0000 0.0000
0.0000 4.7806 0.0000
0.0000 0.0000 4.7806
Nb Tc Au
3 1 1
Cartesian
0.0000 0.0000 2.3903
0.0000 2.3903 0.0000
2.3903 0.0000 0.0000
0.0000 0.0000 0.0000
2.3903 2.3903 2.3903
```

Calculated values
- M_tot (μB/atom) = 0.000
- volume (Å³/cell) = 109.26
- N(E_F) (states/eV per cell) = 4.56



## 2
First-principles (PBE) data for a relaxed structure of Nb3TcAu, as listed in Alexandria.

Geometry as POSCAR:
```
Nb3TcAu
1.0
4.8817 0.0000 0.0000
0.0000 4.8817 0.0000
0.0000 0.0000 4.8817
Nb Tc Au
3 1 1
Cartesian
0.0000 0.0000 2.4409
0.0000 2.4409 0.0000
2.4409 0.0000 0.0000
2.4409 2.4409 2.4409
0.0000 0.0000 0.0000
```

Calculated values
- M_tot (μB/atom) = 0.000
- volume (Å³/cell) = 116.34
- N(E_F) (states/eV per cell) = 9.29



Stability ranking, top entry: 1; the second entry is 977 meV/atom less favorable.



## 1
First-principles (PBE) data for a relaxed structure of Nb3TeAu, as listed in Alexandria.

Geometry as POSCAR:
```
Nb3TeAu
1.0
5.0105 0.0000 0.0000
0.0000 5.0105 0.0000
0.0000 0.0000 5.0105
Nb Te Au
3 1 1
Cartesian
0.0000 0.0000 2.5053
0.0000 2.5053 0.0000
2.5053 0.0000 0.0000
2.5053 2.5053 2.5053
0.0000 0.0000 0.0000
```

Calculated values
- M_tot (μB/atom) = 0.000
- volume (Å³/cell) = 125.79
- N(E_F) (states/eV per cell) = 5.23



## 2
First-principles (PBE) data for a relaxed structure of Nb3TeAu, as listed in Alexandria.

Geometry as POSCAR:
```
Nb3TeAu
1.0
5.0006 0.0000 0.0000
0.0000 5.0006 0.0000
0.0000 0.0000 5.0006
Nb Te Au
3 1 1
Cartesian
0.0000 0.0000 2.5003
0.0000 2.5003 0.0000
2.5003 0.0000 0.0000
0.0000 0.0000 0.0000
2.5003 2.5003 2.5003
```

Calculated values
- M_tot (μB/atom) = 0.000
- volume (Å³/cell) = 125.05
- N(E_F) (states/eV per cell) = 9.30



Stability ranking, top entry: 1; the second entry is 110 meV/atom less favorable.



## 1
First-principles (PBE) data for a relaxed structure of NbTeAu3, as listed in Alexandria.

Geometry as POSCAR:
```
NbTeAu3
1.0
5.1804 0.0000 0.0000
0.0000 5.1804 0.0000
0.0000 0.0000 5.1804
Nb Te Au
1 1 3
Cartesian
0.0000 0.0000 0.0000
2.5902 2.5902 2.5902
0.0000 2.5902 2.5902
2.5902 0.0000 2.5902
2.5902 2.5902 0.0000
```

Calculated values
- M_tot (μB/atom) = 0.704
- volume (Å³/cell) = 139.02
- N(E_F) (states/eV per cell) = 4.42



## 2
First-principles (PBE) data for a relaxed structure of NbTeAu3, as listed in Alexandria.

Geometry as POSCAR:
```
NbTeAu3
1.0
5.1459 0.0000 0.0000
0.0000 5.1459 0.0000
0.0000 0.0000 5.1459
Nb Te Au
1 1 3
Cartesian
0.0000 0.0000 0.0000
2.5730 2.5730 2.5730
0.0000 0.0000 2.5730
0.0000 2.5730 0.0000
2.5730 0.0000 0.0000
```

Calculated values
- M_tot (μB/atom) = 0.000
- volume (Å³/cell) = 136.27
- N(E_F) (states/eV per cell) = 4.78



Stability ranking, top entry: 2; the second entry is 172 meV/atom less favorable.



## 1
First-principles (PBE) data for a relaxed structure of Th2NbAu, as listed in Alexandria.

Geometry as POSCAR:
```
Th2NbAu
1.0
3.6866 0.0000 0.0000
0.0000 3.6866 0.0000
0.0000 0.0000 7.6011
Th Nb Au
2 1 1
Cartesian
0.0000 0.0000 1.8304
0.0000 0.0000 5.7707
1.8433 1.8433 0.0000
1.8433 1.8433 3.8005
```

Calculated values
- M_tot (μB/atom) = 0.000
- volume (Å³/cell) = 103.30
- N(E_F) (states/eV per cell) = 4.05



## 2
First-principles (PBE) data for a relaxed structure of Th2NbAu, as listed in Alexandria.

Geometry as POSCAR:
```
Th2NbAu
1.0
1.6527 0.9542 11.0145
-1.6527 0.9542 11.0145
0.0000 -1.9084 11.0145
Th Nb Au
2 1 1
Cartesian
0.0000 0.0000 2.9350
0.0000 0.0000 30.1087
0.0000 0.0000 0.0000
0.0000 0.0000 16.5218
```

Calculated values
- M_tot (μB/atom) = 0.000
- volume (Å³/cell) = 104.22
- N(E_F) (states/eV per cell) = 4.33



Stability ranking, top entry: 1; the second entry is 480 meV/atom less favorable.



## 1
First-principles (PBE) data for a relaxed structure of TiNbAu2, as listed in Alexandria.

Geometry as POSCAR:
```
TiNbAu2
1.0
4.0670 0.0000 0.0000
0.0000 4.0670 0.0000
0.0000 0.0000 4.1939
Ti Nb Au
1 1 2
Cartesian
0.0000 0.0000 0.0000
2.0335 2.0335 0.0000
0.0000 2.0335 2.0970
2.0335 0.0000 2.0970
```

Calculated values
- M_tot (μB/atom) = 0.000
- volume (Å³/cell) = 69.37
- N(E_F) (states/eV per cell) = 3.38



## 2
First-principles (PBE) data for a relaxed structure of TiNbAu2, as listed in Alexandria.

Geometry as POSCAR:
```
TiNbAu2
1.0
1.4619 0.8441 9.5463
-1.4619 0.8441 9.5463
0.0000 -1.6881 9.5463
Ti Nb Au
1 1 2
Cartesian
0.0000 0.0000 0.0000
0.0000 0.0000 14.3195
0.0000 0.0000 7.2366
0.0000 0.0000 21.4024
```

Calculated values
- M_tot (μB/atom) = 0.066
- volume (Å³/cell) = 70.68
- N(E_F) (states/eV per cell) = 5.01



Stability ranking, top entry: 1; the second entry is 168 meV/atom less favorable.



## 1
First-principles (PBE) data for a relaxed structure of TiNbAu2, as listed in Alexandria.

Geometry as POSCAR:
```
TiNbAu2
1.0
0.0000 3.2976 3.2976
3.2976 0.0000 3.2976
3.2976 3.2976 0.0000
Ti Nb Au
1 1 2
Cartesian
0.0000 0.0000 0.0000
3.2976 3.2976 3.2976
1.6488 1.6488 1.6488
4.9465 4.9465 4.9465
```

Calculated values
- M_tot (μB/atom) = 0.257
- volume (Å³/cell) = 71.72
- N(E_F) (states/eV per cell) = 4.04



## 2
First-principles (PBE) data for a relaxed structure of TiNbAu2, as listed in Alexandria.

Geometry as POSCAR:
```
TiNbAu2
1.0
-3.7392 3.7392 2.6905
3.7392 -3.7392 2.6905
3.7392 3.7392 -2.6905
Ti Nb Au
2 2 4
Cartesian
0.0000 0.0000 0.0000
0.0000 3.7392 1.3453
3.7392 0.0000 1.3453
0.0000 0.0000 2.6905
5.6088 1.7856 -0.6726
1.7856 1.8696 0.6726
-1.8696 1.9536 2.0179
1.9536 1.8696 3.3631
```

Calculated values
- M_tot (μB/atom) = 0.000
- volume (Å³/cell) = 150.47
- N(E_F) (states/eV per cell) = 8.22



Stability ranking, top entry: 1; the second entry is 259 meV/atom less favorable.



## 1
First-principles (PBE) data for a relaxed structure of Ti2Nb2Au, as listed in Alexandria.

Geometry as POSCAR:
```
Ti2Nb2Au
1.0
-1.8795 1.8795 6.7466
1.8795 -1.8795 6.7466
1.8795 1.8795 -6.7466
Ti Nb Au
2 2 1
Cartesian
0.0000 0.0000 1.2001
0.0000 0.0000 12.2930
1.8795 0.0000 3.3733
0.0000 1.8795 3.3733
0.0000 0.0000 6.7466
```

Calculated values
- M_tot (μB/atom) = 0.000
- volume (Å³/cell) = 95.33
- N(E_F) (states/eV per cell) = 5.12



## 2
First-principles (PBE) data for a relaxed structure of Ti2Nb2Au, as listed in Alexandria.

Geometry as POSCAR:
```
Ti2Nb2Au
1.0
7.2005 0.0000 0.0000
0.0000 7.2005 0.0000
0.0000 0.0000 3.5460
Ti Nb Au
4 4 2
Cartesian
1.2202 2.3800 0.0000
2.3800 5.9803 0.0000
4.8205 1.2202 0.0000
5.9803 4.8205 0.0000
0.9358 4.5361 1.7730
2.6644 0.9358 1.7730
4.5361 6.2647 1.7730
6.2647 2.6644 1.7730
0.0000 0.0000 1.7730
3.6002 3.6002 1.7730
```

Calculated values
- M_tot (μB/atom) = 0.000
- volume (Å³/cell) = 183.85
- N(E_F) (states/eV per cell) = 14.65



## 3
First-principles (PBE) data for a relaxed structure of Ti2Nb2Au, as listed in Alexandria.

Geometry as POSCAR:
```
Ti2Nb2Au
1.0
6.7969 -2.2294 0.0000
6.7969 2.2294 0.0000
-0.2932 0.0000 2.8861
Ti Nb Au
2 2 1
Cartesian
1.2368 0.0000 1.2962
12.0638 0.0000 1.5899
3.9438 0.0000 0.4973
9.3568 0.0000 2.3888
6.7969 0.0000 0.0000
```

Calculated values
- M_tot (μB/atom) = 0.000
- volume (Å³/cell) = 87.46
- N(E_F) (states/eV per cell) = 5.56



## 4
First-principles (PBE) data for a relaxed structure of Ti2Nb2Au, as listed in Alexandria.

Geometry as POSCAR:
```
Ti2Nb2Au
1.0
6.9618 0.0000 0.0000
0.0000 6.9618 0.0000
0.0000 0.0000 3.6705
Ti Nb Au
4 4 2
Cartesian
0.9219 2.5590 0.0000
2.5590 6.0399 0.0000
4.4028 0.9219 0.0000
6.0399 4.4028 0.0000
1.1752 4.6561 1.8352
2.3057 1.1752 1.8352
4.6561 5.7866 1.8352
5.7866 2.3057 1.8352
0.0000 0.0000 0.0000
3.4809 3.4809 0.0000
```

Calculated values
- M_tot (μB/atom) = 0.000
- volume (Å³/cell) = 177.89
- N(E_F) (states/eV per cell) = 9.95



Stability ranking, top entry: 3; the second entry is 169 meV/atom less favorable.



## 1
First-principles (PBE) data for a relaxed structure of TiNb3Au, as listed in Alexandria.

Geometry as POSCAR:
```
TiNb3Au
1.0
4.6594 0.0000 0.0000
0.0000 4.6594 0.0000
0.0000 0.0000 4.6594
Ti Nb Au
1 3 1
Cartesian
0.0000 0.0000 0.0000
0.0000 0.0000 2.3297
0.0000 2.3297 0.0000
2.3297 0.0000 0.0000
2.3297 2.3297 2.3297
```

Calculated values
- M_tot (μB/atom) = 0.000
- volume (Å³/cell) = 101.16
- N(E_F) (states/eV per cell) = 6.81



## 2
First-principles (PBE) data for a relaxed structure of TiNb3Au, as listed in Alexandria.

Geometry as POSCAR:
```
TiNb3Au
1.0
4.9475 0.0000 0.0000
0.0000 4.9475 0.0000
0.0000 0.0000 4.9475
Ti Nb Au
1 3 1
Cartesian
0.0000 0.0000 0.0000
0.0000 2.4738 2.4738
2.4738 0.0000 2.4738
2.4738 2.4738 0.0000
2.4738 2.4738 2.4738
```

Calculated values
- M_tot (μB/atom) = 0.000
- volume (Å³/cell) = 121.11
- N(E_F) (states/eV per cell) = 9.34



Stability ranking, top entry: 1; the second entry is 466 meV/atom less favorable.



## 1
First-principles (PBE) data for a relaxed structure of Ti2NbAu, as listed in Alexandria.

Geometry as POSCAR:
```
Ti2NbAu
1.0
3.2917 0.0000 0.0000
0.0000 3.2917 0.0000
0.0000 0.0000 6.3568
Ti Nb Au
2 1 1
Cartesian
0.0000 0.0000 1.5323
0.0000 0.0000 4.8246
1.6458 1.6458 0.0000
1.6458 1.6458 3.1784
```

Calculated values
- M_tot (μB/atom) = 0.000
- volume (Å³/cell) = 68.88
- N(E_F) (states/eV per cell) = 3.74



## 2
First-principles (PBE) data for a relaxed structure of Ti2NbAu, as listed in Alexandria.

Geometry as POSCAR:
```
Ti2NbAu
1.0
0.0000 3.2283 3.2283
3.2283 0.0000 3.2283
3.2283 3.2283 0.0000
Ti Nb Au
2 1 1
Cartesian
1.6141 1.6141 1.6141
4.8424 4.8424 4.8424
0.0000 0.0000 0.0000
3.2283 3.2283 3.2283
```

Calculated values
- M_tot (μB/atom) = 0.000
- volume (Å³/cell) = 67.29
- N(E_F) (states/eV per cell) = 1.97



Stability ranking, top entry: 1; the second entry is 48 meV/atom less favorable.



## 1
First-principles (PBE) data for a relaxed structure of Ti2NbAu, as listed in Alexandria.

Geometry as POSCAR:
```
Ti2NbAu
1.0
1.4845 0.8571 9.2972
-1.4845 0.8571 9.2972
0.0000 -1.7141 9.2972
Ti Nb Au
2 1 1
Cartesian
0.0000 0.0000 0.0000
0.0000 0.0000 4.6688
0.0000 0.0000 11.6224
0.0000 0.0000 16.3014
```

Calculated values
- M_tot (μB/atom) = 0.000
- volume (Å³/cell) = 70.97
- N(E_F) (states/eV per cell) = 4.52



## 2
First-principles (PBE) data for a relaxed structure of Ti2NbAu, as listed in Alexandria.

Geometry as POSCAR:
```
Ti2NbAu
1.0
-1.9955 1.9955 9.3735
1.9955 -1.9955 9.3735
1.9955 1.9955 -9.3735
Ti Nb Au
4 2 2
Cartesian
2.9932 0.9662 -2.3434
0.9662 0.9977 2.3434
-0.9977 1.0293 7.0301
1.0293 0.9977 11.7169
0.0000 0.0000 0.0000
0.0000 1.9955 4.6868
1.9955 0.0000 4.6868
0.0000 0.0000 9.3735
```

Calculated values
- M_tot (μB/atom) = 0.000
- volume (Å³/cell) = 149.30
- N(E_F) (states/eV per cell) = 10.23



Stability ranking, top entry: 1; the second entry is 329 meV/atom less favorable.